Entry from Alexandria: a relaxed structure of NaLa6In5 (GGA-PBE).

abc: 5.6467 7.8493 8.9562
angles: 90.00 71.62 90.00
Last column: nearest neighbours and their distance in Å.
Element x y z (fractional)
In (0.6655, 0.5000, 0.6690)  8 La 3.39-3.44
In (0.3434, 0.0000, 0.3132)  8 La 3.35-3.53
In (0.0000, 0.5000, 0.0000)  8 La 3.39-3.50
In (0.6566, 0.0000, 0.6868)  8 La 3.35-3.53
In (0.3345, 0.5000, 0.3310)  8 La 3.39-3.44
La (0.5000, 0.2598, 0.0000)  6 In 3.35-3.40, 2 Na 3.48
La (0.1710, 0.2506, 0.6580)  7 In 3.40-3.53, 1 Na 3.51
La (0.8290, 0.7494, 0.3420)  7 In 3.40-3.53, 1 Na 3.51
La (0.1710, 0.7494, 0.6580)  7 In 3.40-3.53, 1 Na 3.51
La (0.5000, 0.7402, 0.0000)  6 In 3.35-3.40, 2 Na 3.48
La (0.8290, 0.2506, 0.3420)  7 In 3.40-3.53, 1 Na 3.51
Na (0.0000, 0.0000, 0.0000)  8 La 3.48-3.51, 4 In 3.88

Summary:
* calculated formation energy: -0.41 eV/atom
* magnetization: 0.00 Bohr magnetons per cell